No. 1
VASP calculation (PBE) on crystalline HoThSe2 at its relaxed geometry.

Geometry as POSCAR:
```
HoThSe2
1.0
4.008 0.000 0.000
2.004 3.471 0.000
2.004 1.157 7.161
Se Ho Th
2 1 1
direct
0.244 0.244 0.268
0.756 0.756 0.732
0.500 0.500 0.500
0.000 0.000 0.000
```

mass density = 9.2 g/cm3
magnetization = 0.00 μB/atom
D(E_F) = 0.62 states/eV per atom
uncorrected formation energy = -1.63 eV per atom

No. 2
VASP calculation (PBE) on crystalline OsRuPt2 at its relaxed geometry.

Geometry as POSCAR:
```
OsRuPt2
1.0
2.742 0.000 0.000
0.000 2.742 0.000
0.000 0.000 7.920
Ru Os Pt
1 1 2
direct
0.000 0.000 0.514
0.500 0.500 0.737
0.000 0.000 0.991
0.500 0.500 0.258
```

mass density = 19.0 g/cm3
formation energy = -0.039 eV per formula unit
magnetization = 0.00 μB/atom
D(E_F) = 1.05 states/eV per atom

No. 3
VASP calculation (PBE) on crystalline InCI2O at its relaxed geometry.

Geometry as POSCAR:
```
InCI2O
1.0
-1.066 4.655 -3.690
1.344 -3.462 -4.756
-3.754 -1.078 -0.276
I C O In
2 1 1 1
direct
0.000 0.500 0.000
0.500 0.000 0.000
0.500 0.500 0.500
0.000 0.000 0.500
0.000 0.000 0.000
```

mass density = 4.6 g/cm3
magnetization = 0.20 μB/atom
D(E_F) = 0.57 states/eV per atom
uncorrected formation energy = 1.13 eV per atom